Computed, not measured: a relaxed structure of RbV3Fe at the PBE-GGA level of DFT.

Values from the calculation:
symmetry	Pm-3m, No. 221
DFT formation energy	2.768	eV/atom
offset from the most stable computed form	1.570	eV/atom

abc: 4.458 4.458 4.458
angles: 90.00 90.00 90.00
Fractional positions:
Rb 0.000 0.000 0.000
V 0.000 0.000 0.500
V 0.000 0.500 0.000
V 0.500 0.000 0.000
Fe 0.500 0.500 0.500